DFT (GGA-PBE) results for SbTe2IrPd after structural relaxation.

Lattice parameters (Å, degrees): 5.343 5.343 4.964 90.00 90.00 90.00
Fractional coordinates of all 5 atoms:
Te 0.500 0.000 0.000
Te 0.000 0.500 0.000
Sb 0.000 0.000 0.500
Ir 0.000 0.000 0.000
Pd 0.500 0.500 0.500

## Properties
Total energy = -21.056 eV per cell
Energy relative to the elements, uncorrected = 0.6808 eV/atom
Volume = 28.3 Å³ per atom
Crystal system = tetragonal
Total magnetization = 0.000 μB/cell
Relative energy among the computed polymorphs = 0 meV/atom

***

DFT (GGA-PBE) results for Sc3IrPd2 after structural relaxation.

Lattice parameters (Å, degrees): 4.650 7.348 6.555 90.00 90.00 71.55
Fractional coordinates of all 12 atoms:
Pd 0.666 0.668 0.500
Pd 0.000 0.000 0.500
Pd 0.334 0.332 0.500
Pd 0.000 0.000 0.000
Ir 0.665 0.669 0.000
Ir 0.335 0.331 0.000
Sc 0.500 0.000 0.755
Sc 0.169 0.662 0.757
Sc 0.831 0.338 0.757
Sc 0.500 0.000 0.245
Sc 0.831 0.338 0.243
Sc 0.169 0.662 0.243

## Properties
Total energy = -87.949 eV per cell
Volume = 17.7 Å³ per atom
Crystal system = orthorhombic
Total magnetization = 0.000 μB/cell
Formation enthalpy at 0 K = -956 meV per atom

***

DFT (GGA-PBE) results for Sc2IrPd after structural relaxation.

Lattice parameters (Å, degrees): 4.620 4.620 4.620 60.00 60.00 60.00
Fractional coordinates of all 4 atoms:
Sc 0.750 0.750 0.750
Sc 0.250 0.250 0.250
Pd 0.000 0.000 0.000
Ir 0.500 0.500 0.500

## Properties
Total energy = -30.681 eV per cell
Volume = 17.4 Å³ per atom
Crystal system = cubic
Total magnetization = 0.000 μB/cell
Formation enthalpy at 0 K = -991 meV per atom
Relative energy among the computed polymorphs = 0 meV/atom

***

DFT (GGA-PBE) results for Sc5Ir4Pd after structural relaxation.

Lattice parameters (Å, degrees): 3.175 3.175 16.940 90.00 90.00 90.00
Fractional coordinates of all 10 atoms:
Sc 0.500 0.500 0.303
Sc 0.500 0.500 0.500
Sc 0.500 0.500 0.895
Sc 0.500 0.500 0.105
Sc 0.500 0.500 0.697
Pd 0.000 0.000 0.000
Ir 0.000 0.000 0.401
Ir 0.000 0.000 0.202
Ir 0.000 0.000 0.599
Ir 0.000 0.000 0.798

## Properties
Total energy = -82.319 eV per cell
Volume = 17.1 Å³ per atom
Crystal system = tetragonal
Total magnetization = 0.000 μB/cell
Formation enthalpy at 0 K = -1002 meV per atom

***

DFT (GGA-PBE) results for Sc2Ir2Pd after structural relaxation.

Lattice parameters (Å, degrees): 6.935 6.935 3.712 90.00 90.00 90.00
Fractional coordinates of all 10 atoms:
Ir 0.869 0.631 0.000
Ir 0.369 0.869 0.000
Ir 0.631 0.131 0.000
Ir 0.131 0.369 0.000
Sc 0.824 0.324 0.500
Sc 0.676 0.824 0.500
Sc 0.324 0.176 0.500
Sc 0.176 0.676 0.500
Pd 0.500 0.500 0.000
Pd 0.000 0.000 0.000

## Properties
Total energy = -78.199 eV per cell
Volume = 17.9 Å³ per atom
Crystal system = tetragonal
Total magnetization = 0.000 μB/cell
Formation enthalpy at 0 K = -704 meV per atom

***

DFT (GGA-PBE) results for ScIrPd2 after structural relaxation.

Lattice parameters (Å, degrees): 3.989 3.982 3.982 90.00 90.00 90.00
Fractional coordinates of all 4 atoms:
Ir 0.500 0.000 0.000
Pd 0.000 0.000 0.500
Pd 0.000 0.500 0.000
Sc 0.500 0.500 0.500

## Properties
Total energy = -28.177 eV per cell
Volume = 15.8 Å³ per atom
Crystal system = tetragonal
Total magnetization = 0.000 μB/cell
Formation enthalpy at 0 K = -650 meV per atom
Relative energy among the computed polymorphs = 0 meV/atom

***

DFT (GGA-PBE) results for Sc2IrPd after structural relaxation.

Lattice parameters (Å, degrees): 3.189 4.674 4.674 90.00 90.00 90.00
Fractional coordinates of all 4 atoms:
Sc 0.000 0.000 0.500
Sc 0.000 0.500 0.000
Ir 0.500 0.000 0.000
Pd 0.500 0.500 0.500

## Properties
Total energy = -30.622 eV per cell
Volume = 17.4 Å³ per atom
Crystal system = tetragonal
Total magnetization = 0.000 μB/cell
Formation enthalpy at 0 K = -976 meV per atom
Relative energy among the computed polymorphs = 15 meV/atom

***

DFT (GGA-PBE) results for Sc4IrPd3 after structural relaxation.

Lattice parameters (Å, degrees): 3.274 3.274 13.313 90.00 90.00 90.00
Fractional coordinates of all 8 atoms:
Pd 0.500 0.500 0.752
Pd 0.500 0.500 0.500
Pd 0.500 0.500 0.248
Sc 0.000 0.000 0.627
Sc 0.000 0.000 0.118
Sc 0.000 0.000 0.882
Sc 0.000 0.000 0.373
Ir 0.500 0.500 0.000

## Properties
Total energy = -57.242 eV per cell
Volume = 17.8 Å³ per atom
Crystal system = tetragonal
Total magnetization = 0.002 μB/cell
Formation enthalpy at 0 K = -935 meV per atom

***

DFT (GGA-PBE) results for ScIrPd2 after structural relaxation.

Lattice parameters (Å, degrees): 4.515 4.515 4.515 60.00 60.00 60.00
Fractional coordinates of all 4 atoms:
Pd 0.750 0.750 0.750
Pd 0.250 0.250 0.250
Sc 0.000 0.000 0.000
Ir 0.500 0.500 0.500

## Properties
Total energy = -27.224 eV per cell
Volume = 16.3 Å³ per atom
Crystal system = cubic
Total magnetization = 0.000 μB/cell
Formation enthalpy at 0 K = -412 meV per atom
Relative energy among the computed polymorphs = 238 meV/atom

***

DFT (GGA-PBE) results for ScIrPd2 after structural relaxation.

Lattice parameters (Å, degrees): 3.844 3.844 9.777 78.66 78.66 90.00
Fractional coordinates of all 8 atoms:
Pd 0.875 0.884 0.750
Pd 0.634 0.125 0.250
Pd 0.116 0.625 0.250
Pd 0.375 0.366 0.750
Ir 0.000 0.000 0.000
Ir 0.750 0.250 0.500
Sc 0.250 0.750 0.500
Sc 0.500 0.500 0.000

## Properties
Total energy = -53.440 eV per cell
Volume = 17.3 Å³ per atom
Crystal system = tetragonal
Total magnetization = 0.000 μB/cell
Formation enthalpy at 0 K = -285 meV per atom
Relative energy among the computed polymorphs = 364 meV/atom

***

DFT (GGA-PBE) results for Sc2IrPd after structural relaxation.

Lattice parameters (Å, degrees): 7.119 7.119 5.843 52.47 52.47 90.00
Fractional coordinates of all 8 atoms:
Ir 0.000 0.000 0.000
Ir 0.750 0.250 0.500
Pd 0.500 0.500 0.000
Pd 0.250 0.750 0.500
Sc 0.117 0.625 0.250
Sc 0.633 0.125 0.250
Sc 0.875 0.883 0.750
Sc 0.375 0.367 0.750

## Properties
Total energy = -57.624 eV per cell
Volume = 18.8 Å³ per atom
Crystal system = tetragonal
Total magnetization = 0.000 μB/cell
Formation enthalpy at 0 K = -524 meV per atom
Relative energy among the computed polymorphs = 467 meV/atom

***

DFT (GGA-PBE) results for Sc4Ir3Pd after structural relaxation.

Lattice parameters (Å, degrees): 4.526 6.690 9.051 90.00 90.00 90.00
Fractional coordinates of all 16 atoms:
Sc 0.000 0.248 0.750
Sc 0.000 0.752 0.750
Sc 0.500 0.752 0.000
Sc 0.000 0.752 0.250
Sc 0.500 0.752 0.500
Sc 0.000 0.248 0.250
Sc 0.500 0.248 0.500
Sc 0.500 0.248 0.000
Pd 0.000 0.500 0.000
Pd 0.000 0.500 0.500
Ir 0.500 0.500 0.250
Ir 0.500 0.000 0.750
Ir 0.500 0.000 0.250
Ir 0.000 0.000 0.500
Ir 0.000 0.000 0.000
Ir 0.500 0.500 0.750

## Properties
Total energy = -130.230 eV per cell
Volume = 17.1 Å³ per atom
Crystal system = tetragonal
Total magnetization = 0.000 μB/cell
Formation enthalpy at 0 K = -1002 meV per atom

***

DFT (GGA-PBE) results for ScIr3Pd after structural relaxation.

Lattice parameters (Å, degrees): 4.736 4.736 4.736 90.00 90.00 90.00
Fractional coordinates of all 5 atoms:
Ir 0.000 0.500 0.000
Ir 0.000 0.000 0.500
Ir 0.500 0.000 0.000
Pd 0.000 0.000 0.000
Sc 0.500 0.500 0.500

## Properties
Total energy = -31.092 eV per cell
Volume = 21.2 Å³ per atom
Crystal system = cubic
Total magnetization = 2.620 μB/cell
Formation enthalpy at 0 K = 1403 meV per atom
Relative energy among the computed polymorphs = 0 meV/atom

***

DFT (GGA-PBE) results for Sc6Ir5Pd after structural relaxation.

Lattice parameters (Å, degrees): 4.494 6.750 7.104 90.00 71.56 90.00
Fractional coordinates of all 12 atoms:
Ir 0.666 0.000 0.669
Ir 0.667 0.500 0.667
Ir 0.000 0.500 0.000
Ir 0.334 0.000 0.331
Ir 0.333 0.500 0.333
Sc 0.831 0.251 0.337
Sc 0.169 0.251 0.663
Sc 0.831 0.749 0.337
Sc 0.169 0.749 0.663
Sc 0.500 0.745 0.000
Sc 0.500 0.255 0.000
Pd 0.000 0.000 0.000

## Properties
Total energy = -99.558 eV per cell
Volume = 17.0 Å³ per atom
Crystal system = orthorhombic
Total magnetization = 0.000 μB/cell
Formation enthalpy at 0 K = -1006 meV per atom

***

DFT (GGA-PBE) results for ScIr3Pd after structural relaxation.

Lattice parameters (Å, degrees): 4.650 4.650 4.650 90.00 90.00 90.00
Fractional coordinates of all 5 atoms:
Pd 0.500 0.500 0.500
Ir 0.500 0.000 0.000
Ir 0.000 0.500 0.000
Ir 0.000 0.000 0.500
Sc 0.000 0.000 0.000

## Properties
Total energy = -30.213 eV per cell
Volume = 20.1 Å³ per atom
Crystal system = cubic
Total magnetization = 2.707 μB/cell
Formation enthalpy at 0 K = 1579 meV per atom
Relative energy among the computed polymorphs = 176 meV/atom

***

DFT (GGA-PBE) results for Sc2IrPd after structural relaxation.

Lattice parameters (Å, degrees): 9.308 9.308 9.308 19.03 19.03 19.03
Fractional coordinates of all 4 atoms:
Ir 0.000 0.000 0.000
Sc 0.089 0.089 0.089
Sc 0.911 0.911 0.911
Pd 0.500 0.500 0.500

## Properties
Total energy = -27.266 eV per cell
Volume = 18.7 Å³ per atom
Crystal system = trigonal
Total magnetization = 0.000 μB/cell
Formation enthalpy at 0 K = -137 meV per atom
Relative energy among the computed polymorphs = 854 meV/atom

***

DFT (GGA-PBE) results for Sc3Ir2Pd2 after structural relaxation.

Lattice parameters (Å, degrees): 4.489 4.561 8.386 89.70 121.58 119.96
Fractional coordinates of all 7 atoms:
Pd 0.561 0.280 0.421
Pd 0.439 0.720 0.579
Ir 0.153 0.579 0.863
Ir 0.847 0.421 0.137
Sc 0.305 0.156 0.724
Sc 0.000 0.000 0.000
Sc 0.695 0.844 0.276

## Properties
Total energy = -53.023 eV per cell
Volume = 17.0 Å³ per atom
Crystal system = triclinic
Total magnetization = 0.000 μB/cell
Formation enthalpy at 0 K = -846 meV per atom

***

DFT (GGA-PBE) results for Sc6IrPd5 after structural relaxation.

Lattice parameters (Å, degrees): 4.692 6.523 7.408 90.00 71.54 90.00
Fractional coordinates of all 12 atoms:
Sc 0.500 0.244 0.000
Sc 0.837 0.753 0.327
Sc 0.163 0.247 0.673
Sc 0.500 0.756 0.000
Sc 0.837 0.247 0.327
Sc 0.163 0.753 0.673
Pd 0.333 0.500 0.334
Pd 0.000 0.500 0.000
Pd 0.667 0.500 0.666
Pd 0.669 0.000 0.663
Pd 0.331 0.000 0.337
Ir 0.000 0.000 0.000

## Properties
Total energy = -84.007 eV per cell
Volume = 17.9 Å³ per atom
Crystal system = orthorhombic
Total magnetization = 0.000 μB/cell
Formation enthalpy at 0 K = -933 meV per atom

***

DFT (GGA-PBE) results for ScIrPd after structural relaxation.

Lattice parameters (Å, degrees): 4.435 4.268 6.129 90.00 90.00 90.00
Fractional coordinates of all 6 atoms:
Ir 0.000 0.000 0.000
Ir 0.000 0.000 0.500
Sc 0.000 0.500 0.250
Sc 0.000 0.500 0.750
Pd 0.500 0.000 0.250
Pd 0.500 0.000 0.750

## Properties
Total energy = -42.952 eV per cell
Volume = 19.3 Å³ per atom
Crystal system = orthorhombic
Total magnetization = 0.000 μB/cell
Formation enthalpy at 0 K = -364 meV per atom

***

DFT (GGA-PBE) results for ScIrPd2Se after structural relaxation.

Lattice parameters (Å, degrees): 4.578 4.910 4.578 90.00 90.00 90.00
Fractional coordinates of all 5 atoms:
Sc 0.000 0.500 0.000
Pd 0.500 0.000 0.000
Pd 0.000 0.000 0.500
Ir 0.500 0.500 0.500
Se 0.000 0.000 0.000

## Properties
Total energy = -27.466 eV per cell
Energy relative to the elements, uncorrected = 0.3194 eV/atom
Volume = 20.6 Å³ per atom
Crystal system = tetragonal
Total magnetization = 0.532 μB/cell